# SrPuFe2O8, relaxed, DFT GGA+U
data_SrPuFe2O8
_chemical_formula_sum 'Sr1 Pu1 Fe2 O8'
_space_group_name_H-M_alt 'P 1'
_space_group_IT_number 1
_cell_length_a 5.175
_cell_length_b 5.175
_cell_length_c 6.766
_cell_angle_alpha 112.48
_cell_angle_beta 112.48
_cell_angle_gamma 90.00
loop_
_space_group_symop_operation_xyz
'x,y,z'
loop_
_atom_site_label
_atom_site_fract_x
_atom_site_fract_y
_atom_site_fract_z
O1 0.661 0.254 0.813
O2 0.152 0.558 0.813
O3 0.036 0.009 0.630
Fe1 0.250 0.750 0.500
Sr1 0.000 0.000 0.000
O4 0.746 0.848 0.187
Fe2 0.500 0.500 0.000
O5 0.379 0.964 0.370
O6 0.991 0.406 0.370
O7 0.442 0.339 0.187
O8 0.594 0.621 0.630
Pu1 0.750 0.250 0.500
# - Energy: -87.5 eV per formula unit
# - SG: No. 82
# - Total magnetic moment: 10.00 μB per formula unit
# - DOS at the Fermi energy: 5.55 states/eV per cell